# TeAu

An optimized crystal structure of TeAu (PBE, the Alexandria database).

Cell and atoms, written as CIF:
```
data_TeAu
_chemical_formula_sum 'Te4 Au4'
_symmetry_space_group_name_H-M 'P 1'
_symmetry_Int_Tables_number 1
_cell_length_a 4.017
_cell_length_b 7.393
_cell_length_c 7.656
_cell_angle_alpha 90.00
_cell_angle_beta 90.00
_cell_angle_gamma 90.00
loop_
_symmetry_equiv_pos_as_xyz
'x,y,z'
loop_
_atom_site_label
_atom_site_type_symbol
_atom_site_fract_x
_atom_site_fract_y
_atom_site_fract_z
Te1 Te 0.750 0.193 0.100
Te2 Te 0.250 0.693 0.400
Te3 Te 0.750 0.307 0.600
Te4 Te 0.250 0.807 0.900
Au1 Au 0.750 0.828 0.183
Au2 Au 0.250 0.328 0.317
Au3 Au 0.750 0.672 0.683
Au4 Au 0.250 0.172 0.817
```

## Properties
E_form (uncorrected) ... 40 meV per atom
Mass density ... 9.48 g cm⁻³

***

# Te4Au

An optimized crystal structure of Te4Au (PBE, the Alexandria database).

Cell and atoms, written as CIF:
```
data_Te4Au
_chemical_formula_sum 'Te4 Au1'
_symmetry_space_group_name_H-M 'P 1'
_symmetry_Int_Tables_number 1
_cell_length_a 5.431
_cell_length_b 5.431
_cell_length_c 5.431
_cell_angle_alpha 90.00
_cell_angle_beta 90.00
_cell_angle_gamma 90.00
loop_
_symmetry_equiv_pos_as_xyz
'x,y,z'
loop_
_atom_site_label
_atom_site_type_symbol
_atom_site_fract_x
_atom_site_fract_y
_atom_site_fract_z
Te1 Te 0.000 0.000 0.000
Te2 Te 0.500 0.000 0.500
Te3 Te 0.000 0.500 0.500
Te4 Te 0.500 0.500 0.000
Au1 Au 0.500 0.500 0.500
```

## Properties
E_form (uncorrected) ... 507 meV per atom
Mass density ... 7.33 g cm⁻³

***

# Te3Au

An optimized crystal structure of Te3Au (PBE, the Alexandria database).

Cell and atoms, written as CIF:
```
data_Te3Au
_chemical_formula_sum 'Te12 Au4'
_symmetry_space_group_name_H-M 'P 1'
_symmetry_Int_Tables_number 1
_cell_length_a 9.931
_cell_length_b 7.376
_cell_length_c 7.646
_cell_angle_alpha 90.00
_cell_angle_beta 90.00
_cell_angle_gamma 90.00
loop_
_symmetry_equiv_pos_as_xyz
'x,y,z'
loop_
_atom_site_label
_atom_site_type_symbol
_atom_site_fract_x
_atom_site_fract_y
_atom_site_fract_z
Te1 Te 0.108 0.750 0.750
Te2 Te 0.608 0.750 0.250
Te3 Te 0.392 0.250 0.750
Te4 Te 0.892 0.250 0.250
Te5 Te 0.664 0.257 0.983
Te6 Te 0.164 0.243 0.017
Te7 Te 0.836 0.757 0.517
Te8 Te 0.336 0.743 0.483
Te9 Te 0.336 0.743 0.017
Te10 Te 0.836 0.757 0.983
Te11 Te 0.164 0.243 0.483
Te12 Te 0.664 0.257 0.517
Au1 Au 0.750 0.007 0.750
Au2 Au 0.250 0.493 0.250
Au3 Au 0.750 0.507 0.750
Au4 Au 0.250 0.993 0.250
```

## Properties
E_form (uncorrected) ... 9 meV per atom
Mass density ... 6.88 g cm⁻³

***

# Te5Au

An optimized crystal structure of Te5Au (PBE, the Alexandria database).

Cell and atoms, written as CIF:
```
data_Te5Au
_chemical_formula_sum 'Te5 Au1'
_symmetry_space_group_name_H-M 'P 1'
_symmetry_Int_Tables_number 1
_cell_length_a 6.717
_cell_length_b 6.717
_cell_length_c 8.042
_cell_angle_alpha 90.00
_cell_angle_beta 90.00
_cell_angle_gamma 143.92
loop_
_symmetry_equiv_pos_as_xyz
'x,y,z'
loop_
_atom_site_label
_atom_site_type_symbol
_atom_site_fract_x
_atom_site_fract_y
_atom_site_fract_z
Te1 Te 0.333 0.667 0.500
Te2 Te 0.134 0.866 0.000
Te3 Te 0.000 0.000 0.500
Te4 Te 0.866 0.134 0.000
Te5 Te 0.667 0.333 0.500
Au1 Au 0.500 0.500 0.000
```

## Properties
E_form (uncorrected) ... 162 meV per atom
Mass density ... 6.49 g cm⁻³

***

# Te4Au

An optimized crystal structure of Te4Au (PBE, the Alexandria database).

Cell and atoms, written as CIF:
```
data_Te4Au
_chemical_formula_sum 'Te4 Au1'
_symmetry_space_group_name_H-M 'P 1'
_symmetry_Int_Tables_number 1
_cell_length_a 9.983
_cell_length_b 9.983
_cell_length_c 9.983
_cell_angle_alpha 156.05
_cell_angle_beta 156.05
_cell_angle_gamma 34.13
loop_
_symmetry_equiv_pos_as_xyz
'x,y,z'
loop_
_atom_site_label
_atom_site_type_symbol
_atom_site_fract_x
_atom_site_fract_y
_atom_site_fract_z
Te1 Te 0.750 0.250 0.500
Te2 Te 0.250 0.750 0.500
Te3 Te 0.571 0.571 0.000
Te4 Te 0.429 0.429 0.000
Au1 Au 0.000 0.000 0.000
```

## Properties
E_form (uncorrected) ... 315 meV per atom
Mass density ... 7.17 g cm⁻³

***

# Te2Au3

An optimized crystal structure of Te2Au3 (PBE, the Alexandria database).

Cell and atoms, written as CIF:
```
data_Te2Au3
_chemical_formula_sum 'Te4 Au6'
_symmetry_space_group_name_H-M 'P 1'
_symmetry_Int_Tables_number 1
_cell_length_a 4.294
_cell_length_b 8.224
_cell_length_c 10.964
_cell_angle_alpha 50.07
_cell_angle_beta 78.71
_cell_angle_gamma 74.87
loop_
_symmetry_equiv_pos_as_xyz
'x,y,z'
loop_
_atom_site_label
_atom_site_type_symbol
_atom_site_fract_x
_atom_site_fract_y
_atom_site_fract_z
Te1 Te 0.899 0.818 0.383
Te2 Te 0.101 0.182 0.617
Te3 Te 0.639 0.659 0.062
Te4 Te 0.361 0.341 0.938
Au1 Au 0.062 0.656 0.220
Au2 Au 0.938 0.344 0.780
Au3 Au 0.225 0.760 0.790
Au4 Au 0.775 0.240 0.210
Au5 Au 0.607 0.364 0.422
Au6 Au 0.393 0.636 0.578
```

## Properties
E_form (uncorrected) ... -17 meV per atom
Mass density ... 9.81 g cm⁻³

***

# Te5Au

An optimized crystal structure of Te5Au (PBE, the Alexandria database).

Cell and atoms, written as CIF:
```
data_Te5Au
_chemical_formula_sum 'Te5 Au1'
_symmetry_space_group_name_H-M 'P 1'
_symmetry_Int_Tables_number 1
_cell_length_a 4.383
_cell_length_b 5.280
_cell_length_c 7.878
_cell_angle_alpha 89.85
_cell_angle_beta 90.00
_cell_angle_gamma 90.00
loop_
_symmetry_equiv_pos_as_xyz
'x,y,z'
loop_
_atom_site_label
_atom_site_type_symbol
_atom_site_fract_x
_atom_site_fract_y
_atom_site_fract_z
Te1 Te 0.000 0.000 0.000
Te2 Te 0.000 0.325 0.359
Te3 Te 0.500 0.712 0.208
Te4 Te 0.500 0.288 0.792
Te5 Te 0.000 0.675 0.641
Au1 Au 0.500 0.000 0.500
```

## Properties
E_form (uncorrected) ... -15 meV per atom
Mass density ... 7.60 g cm⁻³

***

# Te3Au4

An optimized crystal structure of Te3Au4 (PBE, the Alexandria database).

Cell and atoms, written as CIF:
```
data_Te3Au4
_chemical_formula_sum 'Te3 Au4'
_symmetry_space_group_name_H-M 'P 1'
_symmetry_Int_Tables_number 1
_cell_length_a 11.917
_cell_length_b 11.917
_cell_length_c 11.917
_cell_angle_alpha 160.91
_cell_angle_beta 160.91
_cell_angle_gamma 27.12
loop_
_symmetry_equiv_pos_as_xyz
'x,y,z'
loop_
_atom_site_label
_atom_site_type_symbol
_atom_site_fract_x
_atom_site_fract_y
_atom_site_fract_z
Te1 Te 0.000 0.000 0.000
Te2 Te 0.673 0.673 0.000
Te3 Te 0.327 0.327 0.000
Au1 Au 0.815 0.815 0.000
Au2 Au 0.185 0.185 0.000
Au3 Au 0.558 0.558 0.000
Au4 Au 0.442 0.442 0.000
```

## Properties
E_form (uncorrected) ... 79 meV per atom
Mass density ... 10.75 g cm⁻³

***

# Te3Au

An optimized crystal structure of Te3Au (PBE, the Alexandria database).

Cell and atoms, written as CIF:
```
data_Te3Au
_chemical_formula_sum 'Te3 Au1'
_symmetry_space_group_name_H-M 'P 1'
_symmetry_Int_Tables_number 1
_cell_length_a 4.263
_cell_length_b 5.295
_cell_length_c 5.293
_cell_angle_alpha 68.93
_cell_angle_beta 90.00
_cell_angle_gamma 90.00
loop_
_symmetry_equiv_pos_as_xyz
'x,y,z'
loop_
_atom_site_label
_atom_site_type_symbol
_atom_site_fract_x
_atom_site_fract_y
_atom_site_fract_z
Te1 Te 0.500 0.777 0.777
Te2 Te 0.000 0.500 0.500
Te3 Te 0.500 0.223 0.223
Au1 Au 0.000 0.000 0.000
```

## Properties
E_form (uncorrected) ... -12 meV per atom
Mass density ... 8.64 g cm⁻³

***

# Te3Au2

An optimized crystal structure of Te3Au2 (PBE, the Alexandria database).

Cell and atoms, written as CIF:
```
data_Te3Au2
_chemical_formula_sum 'Te6 Au4'
_symmetry_space_group_name_H-M 'P 1'
_symmetry_Int_Tables_number 1
_cell_length_a 8.468
_cell_length_b 7.138
_cell_length_c 7.363
_cell_angle_alpha 61.09
_cell_angle_beta 54.90
_cell_angle_gamma 53.62
loop_
_symmetry_equiv_pos_as_xyz
'x,y,z'
loop_
_atom_site_label
_atom_site_type_symbol
_atom_site_fract_x
_atom_site_fract_y
_atom_site_fract_z
Te1 Te 0.241 0.542 0.814
Te2 Te 0.596 0.958 0.686
Te3 Te 0.903 0.250 0.750
Te4 Te 0.097 0.750 0.250
Te5 Te 0.404 0.042 0.314
Te6 Te 0.759 0.458 0.186
Au1 Au 0.810 0.874 0.952
Au2 Au 0.636 0.626 0.548
Au3 Au 0.364 0.374 0.452
Au4 Au 0.190 0.126 0.048
```

## Properties
E_form (uncorrected) ... 12 meV per atom
Mass density ... 9.01 g cm⁻³

***

# TeAu

An optimized crystal structure of TeAu (PBE, the Alexandria database).

Cell and atoms, written as CIF:
```
data_TeAu
_chemical_formula_sum 'Te2 Au2'
_symmetry_space_group_name_H-M 'P 1'
_symmetry_Int_Tables_number 1
_cell_length_a 5.880
_cell_length_b 5.880
_cell_length_c 4.102
_cell_angle_alpha 90.00
_cell_angle_beta 90.00
_cell_angle_gamma 137.79
loop_
_symmetry_equiv_pos_as_xyz
'x,y,z'
loop_
_atom_site_label
_atom_site_type_symbol
_atom_site_fract_x
_atom_site_fract_y
_atom_site_fract_z
Au1 Au 0.606 0.394 0.750
Au2 Au 0.394 0.606 0.250
Te1 Te 0.862 0.138 0.750
Te2 Te 0.138 0.862 0.250
```

## Properties
E_form (uncorrected) ... 90 meV per atom
Mass density ... 11.31 g cm⁻³

***

# TeAu

An optimized crystal structure of TeAu (PBE, the Alexandria database).

Cell and atoms, written as CIF:
```
data_TeAu
_chemical_formula_sum 'Te2 Au2'
_symmetry_space_group_name_H-M 'P 1'
_symmetry_Int_Tables_number 1
_cell_length_a 5.099
_cell_length_b 5.099
_cell_length_c 5.099
_cell_angle_alpha 60.00
_cell_angle_beta 60.00
_cell_angle_gamma 60.00
loop_
_symmetry_equiv_pos_as_xyz
'x,y,z'
loop_
_atom_site_label
_atom_site_type_symbol
_atom_site_fract_x
_atom_site_fract_y
_atom_site_fract_z
Au1 Au 0.000 0.000 0.000
Au2 Au 0.250 0.250 0.250
Te1 Te 0.500 0.500 0.500
Te2 Te 0.750 0.750 0.750
```

## Properties
E_form (uncorrected) ... 390 meV per atom
Mass density ... 11.50 g cm⁻³

***

# Te5Au

An optimized crystal structure of Te5Au (PBE, the Alexandria database).

Cell and atoms, written as CIF:
```
data_Te5Au
_chemical_formula_sum 'Te5 Au1'
_symmetry_space_group_name_H-M 'P 1'
_symmetry_Int_Tables_number 1
_cell_length_a 5.821
_cell_length_b 5.821
_cell_length_c 6.756
_cell_angle_alpha 90.00
_cell_angle_beta 90.00
_cell_angle_gamma 120.00
loop_
_symmetry_equiv_pos_as_xyz
'x,y,z'
loop_
_atom_site_label
_atom_site_type_symbol
_atom_site_fract_x
_atom_site_fract_y
_atom_site_fract_z
Te1 Te 0.333 0.667 0.000
Te2 Te 0.667 0.333 0.000
Te3 Te 0.500 0.000 0.500
Te4 Te 0.000 0.500 0.500
Te5 Te 0.500 0.500 0.500
Au1 Au 0.000 0.000 0.000
```

## Properties
E_form (uncorrected) ... 531 meV per atom
Mass density ... 6.99 g cm⁻³